Entry 1:
First-principles (PBE) data for an optimized crystal structure of SrCaPb2Se, as listed in Alexandria.

formation energy from raw total energies = -40.20 kJ/mol of atoms
crystal system = tetragonal
space group = No. 123

The structure in POSCAR format:
```
SrCaPb2Se
1.0
5.921 0.000 0.000
0.000 5.346 0.000
0.000 0.000 5.921
Pb Ca Sr Se
2 1 1 1
Direct
0.500 0.000 0.000
0.000 0.000 0.500
0.000 0.500 0.000
0.500 0.500 0.500
0.000 0.000 0.000
```

***

Entry 2:
First-principles (PBE) data for an optimized crystal structure of AcMgScGa, as listed in Alexandria.

crystal system = cubic
space group = No. 216
E_form = -0.204 eV/atom

The structure in POSCAR format:
```
AcMgScGa
1.0
-0.388 -4.124 -3.327
3.833 -0.906 -3.566
3.223 -4.185 0.570
Ga Mg Sc Ac
1 1 1 1
Direct
0.250 0.250 0.250
0.750 0.750 0.750
0.500 0.500 0.500
0.000 0.000 0.000
```

***

| no. | volume (Å³ per cell) | total magnetic moment (μB/f.u.) | VASP energy (eV per atom) |
| --- | --- | --- | --- |
| 1 | 187 | 0.0 | -3.334 |
| 2 | 106 | 0.0 | -3.970 |